1.
! FeRu2Au (GGA-PBE, optimized geometry); values from VASP
&SYSTEM
  ibrav = 0, nat = 4, ntyp = 3
/
ATOMIC_SPECIES
Ru 101.07 Ru.upf
Au 196.97 Au.upf
Fe 55.84 Fe.upf
CELL_PARAMETERS angstrom
-2.8715 3.2709 -0.4946
-4.1942 -0.8851 -0.9023
-3.0846 0.6841 3.0341
ATOMIC_POSITIONS crystal
Ru 0.0000 0.0000 0.0000
Ru 0.2500 0.2500 0.2500
Au 0.5000 0.5000 0.5000
Fe 0.7500 0.7500 0.7500
! space group	F-43m
! spin magnetization	3.955	μB per formula unit
! formation energy from the elements	46.8	kJ/mol of atoms



2.
! DyYRu2 (GGA-PBE, optimized geometry); values from VASP
&SYSTEM
  ibrav = 0, nat = 4, ntyp = 3
/
ATOMIC_SPECIES
Dy 162.50 Dy.upf
Ru 101.07 Ru.upf
Y 88.91 Y.upf
CELL_PARAMETERS angstrom
3.4053 0.0000 0.0000
0.0000 3.4053 0.0000
0.0000 0.0000 6.8102
ATOMIC_POSITIONS crystal
Dy 0.5000 0.5000 0.5000
Ru 0.0000 0.0000 0.7468
Ru 0.0000 0.0000 0.2532
Y 0.5000 0.5000 0.0000
! space group	P4/mmm
! spin magnetization	0.000	μB per formula unit
! formation energy from the elements	-29.1	kJ/mol of atoms



spin magnetization of number 2 (DyYRu2)? 0.000 μB per formula unit



Please write out number 1 again, unchanged.
! FeRu2Au (GGA-PBE, optimized geometry); values from VASP
&SYSTEM
  ibrav = 0, nat = 4, ntyp = 3
/
ATOMIC_SPECIES
Ru 101.07 Ru.upf
Au 196.97 Au.upf
Fe 55.84 Fe.upf
CELL_PARAMETERS angstrom
-2.8715 3.2709 -0.4946
-4.1942 -0.8851 -0.9023
-3.0846 0.6841 3.0341
ATOMIC_POSITIONS crystal
Ru 0.0000 0.0000 0.0000
Ru 0.2500 0.2500 0.2500
Au 0.5000 0.5000 0.5000
Fe 0.7500 0.7500 0.7500
! space group	F-43m
! spin magnetization	3.955	μB per formula unit
! formation energy from the elements	46.8	kJ/mol of atoms